(1)
Material: Na2Ni3Bi2
Method: DFT, PBE-GGA
State: relaxed

Cell lengths 4.5252, 4.5252, 22.4675 Å; angles 90.00, 90.00, 120.00 degrees
Closest atoms and distances in Å follow each position.
Space group R3m (No. 160, hexagonal axes)
One atom of each set of equivalent atoms:
Na  0.0000  0.0000  0.0000 [3 per cell]  7 Ni 2.68-2.87
Na  0.0000  0.0000  0.4842 [3 per cell]  5 Ni 2.81-2.96
Ni  0.0000  0.0000  0.3593 [3 per cell]  4 Bi 2.67-2.80, 4 Na 2.68-2.81
Ni  0.0000  0.0000  0.6136 [3 per cell]  4 Bi 2.76-2.78, 4 Na 2.87-2.91, 3 Ni 3.02
Ni  0.0000  0.0000  0.8793 [3 per cell]  3 Bi 2.69, 4 Na 2.71-2.96
Bi  0.0000  0.0000  0.2407 [3 per cell]  7 Ni 2.67-2.76
Bi  0.0000  0.0000  0.7375 [3 per cell]  4 Ni 2.78-2.80, 3 Na 3.06

=====

(2)
Material: NaSrNiBi
Method: DFT, PBE-GGA
State: relaxed

relative energy among the computed polymorphs: 0.491 eV per formula unit

Cell lengths 7.2986, 7.2986, 7.2986 Å; angles 90.00, 90.00, 90.00 degrees
Closest atoms and distances in Å follow each position.
Space group F-43m (No. 216)
One atom of each set of equivalent atoms:
Na  0.0000  0.0000  0.0000 [4 per cell]  4 Ni 3.16, 4 Sr 3.16
Sr  0.2500  0.2500  0.7500 [4 per cell]  4 Na 3.16, 4 Bi 3.16
Ni  0.2500  0.2500  0.2500 [4 per cell]  4 Na 3.16, 4 Bi 3.16
Bi  0.0000  0.0000  0.5000 [4 per cell]  4 Ni 3.16, 4 Sr 3.16

=====

(3)
Material: NaSrNiBi
Method: DFT, PBE-GGA
State: relaxed

relative energy among the computed polymorphs: 0.624 eV per formula unit

Cell lengths 7.5381, 7.5381, 7.5381 Å; angles 90.00, 90.00, 90.00 degrees
Closest atoms and distances in Å follow each position.
Space group F-43m (No. 216)
One atom of each set of equivalent atoms:
Na  0.0000  0.0000  0.0000 [4 per cell]  4 Bi 3.26, 4 Ni 3.26
Sr  0.0000  0.0000  0.5000 [4 per cell]  4 Ni 3.26, 4 Bi 3.26
Ni  0.2500  0.2500  0.2500 [4 per cell]  4 Na 3.26, 4 Sr 3.26
Bi  0.2500  0.2500  0.7500 [4 per cell]  4 Na 3.26, 4 Sr 3.26

=====

(4)
Material: NaSrNiBi
Method: DFT, PBE-GGA
State: relaxed

relative energy among the computed polymorphs: 0.000 eV per formula unit

Cell lengths 7.1968, 7.1968, 7.1968 Å; angles 90.00, 90.00, 90.00 degrees
Closest atoms and distances in Å follow each position.
Space group F-43m (No. 216)
One atom of each set of equivalent atoms:
Na  0.0000  0.0000  0.0000 [4 per cell]  4 Bi 3.12, 4 Sr 3.12
Sr  0.2500  0.2500  0.7500 [4 per cell]  4 Na 3.12, 4 Ni 3.12
Ni  0.0000  0.0000  0.5000 [4 per cell]  4 Sr 3.12, 4 Bi 3.12
Bi  0.2500  0.2500  0.2500 [4 per cell]  4 Ni 3.12, 4 Na 3.12

=====

(5)
Material: NaNiBiTe3
Method: DFT, PBE-GGA
State: relaxed

Cell lengths 4.2286, 13.8103, 11.8957 Å; angles 90.00, 90.00, 90.00 degrees
Closest atoms and distances in Å follow each position.
Space group Cmcm (No. 63)
One atom of each set of equivalent atoms:
Na  0.0000  0.2468  0.2500 [4 per cell]  6 Te 3.21-3.29
Ni  0.0000  0.4665  0.7500 [4 per cell]  4 Te 2.56-2.61
Bi  0.0000  0.0000  0.0000 [4 per cell]  6 Te 3.12-3.13
Te  0.0000  0.0708  0.7500 [4 per cell]  2 Ni 2.56
Te  0.0000  0.3481  0.5791 [8 per cell]  1 Ni 2.61

=====

(6)
Material: Na9Bi5Os3O24
Method: DFT, PBE-GGA
State: relaxed

Cell lengths 9.7009, 9.7009, 12.9746 Å; angles 90.00, 90.00, 120.00 degrees
Closest atoms and distances in Å follow each position.
Space group P-62c (No. 190)
One atom of each set of equivalent atoms:
Na  0.0000  0.0000  0.2500 [2 per cell]  6 O 2.38
Na  0.0083  0.3073  0.1230 [12 per cell]  6 O 2.31-2.45
Na  0.3333  0.6667  0.1335 [4 per cell]  6 O 2.43-2.47
Bi  0.0000  0.6735  0.0000 [6 per cell]  6 O 2.18-2.24
Bi  0.3333  0.6667  0.6082 [4 per cell]  3 O 2.19
Os  0.0027  0.6737  0.2500 [6 per cell]  6 O 1.81-2.01
O  0.0137  0.5459  0.6399 [12 per cell]  1 Os 1.93
O  0.0137  0.8167  0.1346 [12 per cell]  1 Os 2.01, 1 Bi 2.19
O  0.1957  0.4078  0.7500 [6 per cell]  1 Os 1.82
O  0.2058  0.4648  0.5037 [12 per cell]  2 Bi 2.18-2.19, 1 Na 2.40
O  0.2184  0.7777  0.2500 [6 per cell]  1 Os 1.81

=====

In order of appearance, calculated total energy = -3.826 -3.185 -3.152 -3.308 -3.636 -5.835 eV/atom.